[1]
## La2CrSe2 (GGA-PBE)

Data for La2CrSe2 after structural relaxation.

The value obtained for the volume is 23.63 Å³ per atom. The total DFT energy (no corrections) is -6.0624 eV per atom. The uncorrected formation energy is -0.77 eV per atom.

It has space group P4/mbm (No. 127), with a = 7.463 Å, b = 7.463 Å, c = 4.243 Å, α = 90.00°, β = 90.00° and γ = 90.00°. The distinct sites, in fractional coordinates, are La at (0.161, 0.339, 0.000), Cr at (0.000, 0.000, 0.500) and Se at (0.155, 0.655, 0.500).

[2]
## LaCrSe (GGA-PBE)

Data for LaCrSe after structural relaxation.

The value obtained for the volume is 23.52 Å³ per atom. The total DFT energy (no corrections) is -6.3563 eV per atom. The uncorrected formation energy is -0.34 eV per atom.

It has space group I4mm (No. 107), with a = 3.622 Å, b = 3.622 Å, c = 10.758 Å, α = 90.00°, β = 90.00° and γ = 90.00°. The distinct sites, in fractional coordinates, are La at (0.000, 0.000, 0.000), Cr at (0.000, 0.000, 0.698) and Se at (0.000, 0.000, 0.289).

[3]
## LaCrSe (GGA-PBE)

Data for LaCrSe after structural relaxation.

The value obtained for the volume is 22.95 Å³ per atom. The total DFT energy (no corrections) is -6.6014 eV per atom. The uncorrected formation energy is -0.59 eV per atom.

It has space group P-6m2 (No. 187), with a = 4.4279 Å, b = 4.4279 Å, c = 4.0541 Å, α = 90.00°, β = 90.00° and γ = 120.00°. The distinct sites, in fractional coordinates, are La at (0.0000, 0.0000, 0.0000), Cr at (0.6667, 0.3333, 0.5000) and Se at (0.3333, 0.6667, 0.5000).